Crystalline Nd5Sb4C at its relaxed geometry. Source: Alexandria, functional PBE.

The uncorrected formation energy comes out at -0.807 eV/atom. Its calculated volume is 300.2 Å³ per cell. The value obtained for the density of states at the Fermi level is 4.4 states/eV per cell.

Cell: 6.3427 7.5758 7.5758 Å, 79.91 65.25 65.25°
Last column: nearest neighbours and their distance in Å.
Fractional positions:
Nd  0.9064  0.3527  0.8346  1 C 2.70
Nd  0.2592  0.8346  0.6473  1 C 2.70
Nd  0.7410  0.1654  0.3527  1 C 2.70
Nd  0.0937  0.6473  0.1654  1 C 2.70
Nd  0.4439  0.0000  0.0000  1 C 2.48
Sb  0.4180  0.3943  0.7759  6 Nd 3.14-3.31
Sb  0.8123  0.7759  0.6057  6 Nd 3.14-3.31
Sb  0.1939  0.2241  0.3943  6 Nd 3.14-3.31
Sb  0.5883  0.6057  0.2241  6 Nd 3.14-3.31
C  0.0535  0.0000  0.0000  5 Nd 2.48-2.70